[1]
Pm3Sm8Dy3: relaxed, PBE-GGA.

Summary:
crystal system	orthorhombic

Cell lengths 5.7139, 10.9127, 15.1966 Å; angles 90.00, 90.00, 90.00 degrees
Space group Immm (No. 71)
Symmetry-distinct sites (fractional):
Pm 0.0000 0.0000 0.0000 x2
Pm 0.0000 0.5000 0.3194 x4
Sm 0.0000 0.1594 0.2783 x8
Sm 0.0000 0.3392 0.1032 x8
Dy 0.0000 0.0000 0.5000 x2
Dy 0.0000 0.2983 0.5000 x4

[2]
Pm2SmDy9: relaxed, PBE-GGA.

Summary:
crystal system	hexagonal
energy above the lowest structure with this stoichiometry	0.44	eV/f.u.

Cell lengths 11.2818, 11.2818, 3.5087 Å; angles 90.00, 90.00, 120.00 degrees
Space group P6/mmm (No. 191)
Symmetry-distinct sites (fractional):
Pm 0.3333 0.6667 0.0000 x2
Sm 0.0000 0.0000 0.0000 x1
Dy 0.0000 0.5000 0.0000 x3
Dy 0.1752 0.3503 0.5000 x6

[3]
Pm4SmDy5: relaxed, PBE-GGA.

Summary:
crystal system	tetragonal
energy above the lowest structure with this stoichiometry	0.58	eV/f.u.

Cell lengths 10.6358, 10.6358, 6.0027 Å; angles 90.00, 90.00, 90.00 degrees
Space group I4mm (No. 107)
Symmetry-distinct sites (fractional):
Pm 0.0000 0.3249 0.0000 x8
Sm 0.0000 0.0000 0.2489 x2
Dy 0.0000 0.0000 0.7766 x2
Dy 0.1891 0.1891 0.5148 x8

[4]
Pm3Sm5Dy2: relaxed, PBE-GGA.

Summary:
crystal system	orthorhombic
energy above the lowest structure with this stoichiometry	1.84	eV/f.u.

Cell lengths 9.4597, 13.7585, 11.0623 Å; angles 90.00, 90.00, 90.00 degrees
Space group Ibam (No. 72)
Symmetry-distinct sites (fractional):
Pm 0.0000 0.0000 0.2500 x4
Pm 0.2503 0.1254 0.0000 x8
Sm 0.0000 0.2503 0.2500 x8
Sm 0.0000 0.5000 0.2500 x4
Sm 0.0983 0.3766 0.0000 x8
Dy 0.0891 0.1261 0.5000 x8

Number 1: ΔH_f (0 K) 0.1029 eV per atom. Number 2: ΔH_f (0 K) 0.0565 eV per atom. Number 3: ΔH_f (0 K) 0.2457 eV per atom. Number 4: ΔH_f (0 K) 0.3708 eV per atom.